The following is a DFT calculation (PBE+U) of VSnO2F after structural relaxation.

Values from the calculation:
For the calculated total energy, the calculation gives -31.95 eV per cell. Its size of the total moment is 2.00 Bohr magnetons per cell. Its density is 5.640 g/cm3. The space group is No. 123.

Cell lengths 4.0122, 4.0122, 4.0354 Å; angles 90.00, 90.00, 90.00 degrees
Closest atoms and distances in Å follow each position.
Fractional coordinates of all 5 atoms:
V1 0.0000 0.0000 0.0000  4 O 2.01, 2 F 2.02
Sn1 0.5000 0.5000 0.5000  4 F 2.84, 8 O 2.85
O1 0.0000 0.5000 0.0000  2 V 2.01
O2 0.5000 0.0000 0.0000  2 V 2.01
F1 0.0000 0.0000 0.5000  2 V 2.02